Here is crystalline NaYF4 at its relaxed geometry from Alexandria via LeMat-Bulk. Energies are from PBE.

Cell: 6.0484 6.0484 7.1468 Å, 90.00 90.00 120.00°
Space group P3 (No. 143)
One atom of each set of equivalent atoms:
Na: 0.0000 0.0000 0.0000
Na: 0.0000 0.0000 0.4994
Na: 0.6667 0.3333 0.8884
Y: 0.3333 0.6667 0.1416
Y: 0.3333 0.6667 0.6521
Y: 0.6667 0.3333 0.3906
F: 0.0863 0.6871 0.3948
F: 0.1006 0.7011 0.8958
F: 0.3821 0.0717 0.1615
F: 0.3859 0.0725 0.6243

Here is crystalline Na2YF at its relaxed geometry from Alexandria via LeMat-Bulk. Energies are from PBE.

Cell: 6.922 6.922 9.809 Å, 90.00 90.00 90.00°
Space group I4_1/amd (No. 141, origin choice 2)
One atom of each set of equivalent atoms:
Na: 0.000 0.000 0.000
Y: 0.000 0.250 0.375
F: 0.000 0.250 0.875

Energy above the most stable polymorph in this dataset (meV per atom): 0

Here is crystalline NaYF3 at its relaxed geometry from Alexandria via LeMat-Bulk. Energies are from PBE.

Cell: 4.508 4.508 4.508 Å, 90.00 90.00 90.00°
Space group Pm-3m (No. 221)
One atom of each set of equivalent atoms:
Na: 0.000 0.000 0.000
Y: 0.500 0.500 0.500
F: 0.000 0.500 0.500

Energy above the most stable polymorph in this dataset (meV per atom): 0

Here is crystalline NaYF4 at its relaxed geometry from Alexandria via LeMat-Bulk. Energies are from PBE.

Cell: 6.058 7.012 7.017 Å, 61.36 64.54 64.52°
Space group P1 (No. 1)
One atom of each set of equivalent atoms:
Na: 0.000 0.000 0.000
Na: 0.001 0.521 0.510
Na: 0.667 0.948 0.734
Y: 0.334 0.022 0.329
Y: 0.339 0.521 0.824
Y: 0.672 0.442 0.236
F: 0.091 0.258 0.057
F: 0.097 0.765 0.570
F: 0.313 0.902 0.707
F: 0.315 0.410 0.209
F: 0.381 0.800 0.145
F: 0.391 0.345 0.596
F: 0.587 0.150 0.958
F: 0.613 0.654 0.451
F: 0.692 0.069 0.329
F: 0.695 0.529 0.864
F: 0.932 0.228 0.477
F: 0.933 0.680 0.021

Here is crystalline NaYF4 at its relaxed geometry from Alexandria via LeMat-Bulk. Energies are from PBE.

Cell: 6.0764 6.0764 7.0760 Å, 90.00 90.00 120.00°
Space group P-6 (No. 174)
One atom of each set of equivalent atoms:
Na: 0.0000 0.0000 0.0000
Na: 0.6667 0.3333 0.2208
Y: 0.0000 0.0000 0.5000
Y: 0.3333 0.6667 0.2466
F: 0.0516 0.4430 0.0000
F: 0.0588 0.4218 0.5000
F: 0.2676 0.2600 0.2645

Here is crystalline Na3YF at its relaxed geometry from Alexandria via LeMat-Bulk. Energies are from PBE.

Cell: 6.824 6.824 6.824 Å, 90.00 90.00 90.00°
Space group Pm-3m (No. 221)
One atom of each set of equivalent atoms:
Na: 0.000 0.000 0.500
Y: 0.000 0.000 0.000
F: 0.500 0.500 0.500

Energy above the most stable polymorph in this dataset (meV per atom): 1046

Here is crystalline NaY2F6 at its relaxed geometry from Alexandria via LeMat-Bulk. Energies are from PBE.

Cell: 5.155 5.155 11.211 Å, 90.00 90.00 90.00°
Space group P4_2/mnm (No. 136)
One atom of each set of equivalent atoms:
Na: 0.000 0.000 0.000
Y: 0.000 0.000 0.334
F: 0.178 0.178 0.500
F: 0.194 0.194 0.173

Energy above the most stable polymorph in this dataset (meV per atom): 13

Here is crystalline NaYF4 at its relaxed geometry from Alexandria via LeMat-Bulk. Energies are from PBE.

Cell: 3.838 3.838 5.564 Å, 90.00 90.00 90.00°
Space group P4/mmm (No. 123)
One atom of each set of equivalent atoms:
Na: 0.000 0.000 0.000
Y: 0.500 0.500 0.500
F: 0.000 0.500 0.270

Here is crystalline Na4YF2 at its relaxed geometry from Alexandria via LeMat-Bulk. Energies are from PBE.

Cell: 6.130 6.130 14.297 Å, 90.00 90.00 90.00°
Space group I4/mmm (No. 139)
One atom of each set of equivalent atoms:
Na: 0.000 0.000 0.241
Na: 0.000 0.500 0.000
Y: 0.000 0.000 0.500
F: 0.000 0.000 0.098

Here is crystalline Na3YF at its relaxed geometry from Alexandria via LeMat-Bulk. Energies are from PBE.

Cell: 5.088 5.088 5.088 Å, 90.00 90.00 90.00°
Space group Pm-3m (No. 221)
One atom of each set of equivalent atoms:
Na: 0.000 0.000 0.500
Y: 0.500 0.500 0.500
F: 0.000 0.000 0.000

Energy above the most stable polymorph in this dataset (meV per atom): 0

Here is crystalline NaYZnF6 at its relaxed geometry from Alexandria via LeMat-Bulk. Energies are from PBE.

Cell: 5.6858 5.6858 9.5835 Å, 90.00 90.00 120.00°
Space group P-31c (No. 163)
One atom of each set of equivalent atoms:
Na: 0.0000 0.0000 0.0000
Y: 0.3333 0.6667 0.2500
Zn: 0.3333 0.6667 0.7500
F: 0.0173 0.3630 0.6355

Here is crystalline Na2YZnF8 at its relaxed geometry from Alexandria via LeMat-Bulk. Energies are from PBE.

Cell: 3.927 5.525 7.253 Å, 89.87 89.96 85.28°
Space group P-1 (No. 2)
One atom of each set of equivalent atoms:
Na: 0.000 0.000 0.239
Y: 0.500 0.500 0.500
Zn: 0.500 0.500 0.000
F: 0.007 0.734 0.501
F: 0.088 0.719 0.001
F: 0.446 0.274 0.762
F: 0.446 0.276 0.238

| no. | energy (eV for the cell shown) | formation energy (no corrections) (eV per atom) | V (Å³ per cell) |
| --- | --- | --- | --- |
| 1 | -112.134 | -3.685 | 226.4 |
| 2 | -56.763 | -0.804 | 470.0 |
| 3 | -28.628 | -3.046 | 91.6 |
| 4 | -112.151 | -3.686 | 226.5 |
| 5 | -111.942 | -3.674 | 226.3 |
| 6 | -9.834 | 0.492 | 317.8 |
| 7 | -114.123 | -3.510 | 298.0 |
| 8 | -37.392 | -3.687 | 82.0 |
| 9 | -36.785 | -0.416 | 537.2 |
| 10 | -15.061 | -0.554 | 131.7 |
| 11 | -97.622 | -3.170 | 268.3 |
| 12 | -59.192 | -2.820 | 156.8 |